A | VASP calculation (GGA-PBE) on AsP2Pt2 after structural relaxation.

ρ ... 10.73 g cm⁻³
Total magnetic moment ... 0.00 μB per formula unit

Lattice parameters (Å, degrees): 7.4271 7.4271 2.9578 90.00 90.00 90.00
Element x y z (fractional)
As 0.0000 0.0000 0.0000
As 0.5000 0.5000 0.0000
P 0.1852 0.3148 0.0000
P 0.3148 0.8148 0.0000
P 0.6852 0.1852 0.0000
P 0.8148 0.6852 0.0000
Pt 0.1311 0.6311 0.5000
Pt 0.3689 0.1311 0.5000
Pt 0.6311 0.8689 0.5000
Pt 0.8689 0.3689 0.5000

=====

B | VASP calculation (GGA-PBE) on AsP2Pt2 after structural relaxation.

ρ ... 10.31 g cm⁻³
Total magnetic moment ... 0.00 μB per formula unit

Lattice parameters (Å, degrees): 4.3797 4.3797 8.8488 90.00 90.00 90.00
Element x y z (fractional)
As 0.0000 0.0000 0.0000
As 0.5000 0.5000 0.5000
P 0.0000 0.0000 0.3713
P 0.0000 0.0000 0.6287
P 0.5000 0.5000 0.1287
P 0.5000 0.5000 0.8713
Pt 0.0000 0.5000 0.2500
Pt 0.0000 0.5000 0.7500
Pt 0.5000 0.0000 0.2500
Pt 0.5000 0.0000 0.7500

=====

Referenced to the most stable arrangement, the calculated values in meV/atom are A 164; B 0.

=====

A | VASP calculation (GGA-PBE) on Pu4As3P after structural relaxation.

ρ ... 10.50 g cm⁻³
Total magnetic moment ... 9.75 μB per formula unit

Lattice parameters (Å, degrees): 5.7965 5.7965 5.7965 90.00 90.00 90.00
Element x y z (fractional)
Pu 0.0000 0.0000 0.0000
Pu 0.0000 0.5000 0.5000
Pu 0.5000 0.0000 0.5000
Pu 0.5000 0.5000 0.0000
As 0.0000 0.0000 0.5000
As 0.0000 0.5000 0.0000
As 0.5000 0.0000 0.0000
P 0.5000 0.5000 0.5000

=====

B | VASP calculation (GGA-PBE) on Pu4As3P after structural relaxation.

ρ ... 10.44 g cm⁻³
Total magnetic moment ... 19.95 μB per formula unit

Lattice parameters (Å, degrees): 8.2143 11.6144 4.1060 90.00 90.00 90.00
Element x y z (fractional)
Pu 0.0000 0.2466 0.0000
Pu 0.0000 0.7534 0.0000
Pu 0.2434 0.0000 0.5000
Pu 0.2566 0.5000 0.5000
Pu 0.5000 0.2534 0.0000
Pu 0.5000 0.7466 0.0000
Pu 0.7434 0.5000 0.5000
Pu 0.7566 0.0000 0.5000
As 0.0000 0.5000 0.0000
As 0.2500 0.2500 0.5000
As 0.2500 0.7500 0.5000
As 0.5000 0.0000 0.0000
As 0.7500 0.2500 0.5000
As 0.7500 0.7500 0.5000
P 0.0000 0.0000 0.0000
P 0.5000 0.5000 0.0000

=====

Referenced to the most stable arrangement, the calculated values in meV/atom are A 43; B 0.

=====

A | VASP calculation (GGA-PBE) on PuAsP2 after structural relaxation.

ρ ... 7.54 g cm⁻³
Total magnetic moment ... 5.00 μB per formula unit

Lattice parameters (Å, degrees): 3.9177 3.9177 18.9371 90.00 90.00 120.00
Element x y z (fractional)
Pu 0.0000 0.0000 0.0000
Pu 0.3333 0.6667 0.6667
Pu 0.6667 0.3333 0.3333
As 0.0000 0.0000 0.5000
As 0.3333 0.6667 0.1667
As 0.6667 0.3333 0.8333
P 0.0000 0.0000 0.2470
P 0.0000 0.0000 0.7530
P 0.3333 0.6667 0.4196
P 0.3333 0.6667 0.9137
P 0.6667 0.3333 0.0863
P 0.6667 0.3333 0.5804

=====

B | VASP calculation (GGA-PBE) on PuAsP2 after structural relaxation.

ρ ... 9.05 g cm⁻³
Total magnetic moment ... 4.28 μB per formula unit

Lattice parameters (Å, degrees): 4.1925 4.1925 3.9738 90.00 90.00 90.00
Element x y z (fractional)
Pu 0.0000 0.0000 0.0000
As 0.5000 0.5000 0.0000
P 0.0000 0.5000 0.5000
P 0.5000 0.0000 0.5000

=====

Referenced to the most stable arrangement, the calculated values in meV/atom are A 148; B 0.

=====

A | VASP calculation (GGA-PBE) on PuAsP after structural relaxation.

ρ ... 9.72 g cm⁻³
Total magnetic moment ... 4.12 μB per formula unit

Lattice parameters (Å, degrees): 3.9043 3.9043 15.6784 90.00 90.00 90.00
Element x y z (fractional)
Pu 0.0000 0.0000 0.1472
Pu 0.0000 0.0000 0.8528
Pu 0.5000 0.5000 0.3528
Pu 0.5000 0.5000 0.6472
As 0.0000 0.5000 0.0000
As 0.0000 0.5000 0.5000
As 0.5000 0.0000 0.0000
As 0.5000 0.0000 0.5000
P 0.0000 0.0000 0.3216
P 0.0000 0.0000 0.6784
P 0.5000 0.5000 0.1784
P 0.5000 0.5000 0.8216

=====

B | VASP calculation (GGA-PBE) on PuAsP after structural relaxation.

ρ ... 8.84 g cm⁻³
Total magnetic moment ... 4.99 μB per formula unit

Lattice parameters (Å, degrees): 9.1452 3.9693 7.2535 90.00 93.38 90.00
Element x y z (fractional)
Pu 0.1059 0.0000 0.2959
Pu 0.3941 0.5000 0.7041
Pu 0.6059 0.5000 0.2959
Pu 0.8941 0.0000 0.7041
As 0.2000 0.0000 0.8997
As 0.3000 0.5000 0.1003
As 0.7000 0.5000 0.8997
As 0.8000 0.0000 0.1003
P 0.0962 0.5000 0.5961
P 0.4038 0.0000 0.4039
P 0.5962 0.0000 0.5961
P 0.9038 0.5000 0.4039

=====

Referenced to the most stable arrangement, the calculated values in meV/atom are A 0; B 53.

=====

A | VASP calculation (GGA-PBE) on Pu3AsP2 after structural relaxation.

ρ ... 11.69 g cm⁻³
Total magnetic moment ... 5.08 μB per formula unit

Lattice parameters (Å, degrees): 7.4938 7.4938 5.1030 90.00 90.00 59.49
Element x y z (fractional)
Pu 0.1007 0.8993 0.7500
Pu 0.1923 0.5292 0.7500
Pu 0.4708 0.8077 0.7500
Pu 0.5292 0.1923 0.2500
Pu 0.8077 0.4708 0.2500
Pu 0.8993 0.1007 0.2500
As 0.3262 0.6738 0.2500
As 0.6738 0.3262 0.7500
P 0.1938 0.1938 0.0000
P 0.1938 0.1938 0.5000
P 0.8062 0.8062 0.0000
P 0.8062 0.8062 0.5000

=====

B | VASP calculation (GGA-PBE) on Pu3AsP2 after structural relaxation.

ρ ... 10.25 g cm⁻³
Total magnetic moment ... 14.92 μB per formula unit

Lattice parameters (Å, degrees): 4.0439 5.7278 12.1489 90.00 90.00 90.00
Element x y z (fractional)
Pu 0.0000 0.0000 0.0000
Pu 0.0000 0.0000 0.3274
Pu 0.0000 0.0000 0.6726
Pu 0.5000 0.5000 0.1726
Pu 0.5000 0.5000 0.5000
Pu 0.5000 0.5000 0.8274
As 0.0000 0.5000 0.0000
As 0.5000 0.0000 0.5000
P 0.0000 0.5000 0.3354
P 0.0000 0.5000 0.6646
P 0.5000 0.0000 0.1646
P 0.5000 0.0000 0.8354

=====

Referenced to the most stable arrangement, the calculated values in meV/atom are A 397; B 0.

=====

A | VASP calculation (GGA-PBE) on Rb2AsP2 after structural relaxation.

ρ ... 3.82 g cm⁻³
Total magnetic moment ... 0.00 μB per formula unit

Lattice parameters (Å, degrees): 6.9783 6.9783 5.4964 90.00 90.00 90.00
Element x y z (fractional)
Rb 0.1852 0.3148 0.0000
Rb 0.3148 0.8148 0.0000
Rb 0.6852 0.1852 0.0000
Rb 0.8148 0.6852 0.0000
As 0.0000 0.0000 0.5000
As 0.5000 0.5000 0.5000
P 0.1104 0.6104 0.5000
P 0.3896 0.1104 0.5000
P 0.6104 0.8896 0.5000
P 0.8896 0.3896 0.5000

=====

B | VASP calculation (GGA-PBE) on Rb2AsP2 after structural relaxation.

ρ ... 3.81 g cm⁻³
Total magnetic moment ... 0.00 μB per formula unit

Lattice parameters (Å, degrees): 3.4607 3.4607 22.4145 90.00 90.00 90.00
Element x y z (fractional)
Rb 0.0000 0.0000 0.1115
Rb 0.0000 0.0000 0.8885
Rb 0.5000 0.5000 0.3885
Rb 0.5000 0.5000 0.6115
As 0.0000 0.0000 0.5000
As 0.5000 0.5000 0.0000
P 0.0000 0.5000 0.2500
P 0.0000 0.5000 0.7500
P 0.5000 0.0000 0.2500
P 0.5000 0.0000 0.7500

=====

C | VASP calculation (GGA-PBE) on Rb2AsP2 after structural relaxation.

ρ ... 3.42 g cm⁻³
Total magnetic moment ... 0.00 μB per formula unit

Lattice parameters (Å, degrees): 10.1369 10.1369 2.9068 90.00 90.00 90.00
Element x y z (fractional)
Rb 0.2135 0.2865 0.0000
Rb 0.2865 0.7865 0.0000
Rb 0.7135 0.2135 0.0000
Rb 0.7865 0.7135 0.0000
As 0.0000 0.0000 0.0000
As 0.5000 0.5000 0.0000
P 0.0734 0.5734 0.5000
P 0.4266 0.0734 0.5000
P 0.5734 0.9266 0.5000
P 0.9266 0.4266 0.5000

=====

Referenced to the most stable arrangement, the calculated values in meV/atom are A 0; B 106; C 252.

=====

A | VASP calculation (GGA-PBE) on RbAsP3 after structural relaxation.

ρ ... 3.42 g cm⁻³
Total magnetic moment ... 0.00 μB per formula unit

Lattice parameters (Å, degrees): 4.9707 4.9707 4.9707 90.00 90.00 90.00
Element x y z (fractional)
Rb 0.0000 0.0000 0.0000
As 0.5000 0.5000 0.5000
P 0.0000 0.5000 0.5000
P 0.5000 0.0000 0.5000
P 0.5000 0.5000 0.0000

=====

B | VASP calculation (GGA-PBE) on RbAsP3 after structural relaxation.

ρ ... 2.83 g cm⁻³
Total magnetic moment ... 0.00 μB per formula unit

Lattice parameters (Å, degrees): 5.2962 5.2962 5.2962 90.00 90.00 90.00
Element x y z (fractional)
Rb 0.0000 0.0000 0.0000
As 0.5000 0.5000 0.5000
P 0.0000 0.0000 0.5000
P 0.0000 0.5000 0.0000
P 0.5000 0.0000 0.0000

=====

Referenced to the most stable arrangement, the calculated values in meV/atom are A 0; B 1692.

=====

A | VASP calculation (GGA-PBE) on Rb3AsP after structural relaxation.

ρ ... 2.57 g cm⁻³
Total magnetic moment ... 0.00 μB per formula unit

Lattice parameters (Å, degrees): 9.7228 9.7228 5.0253 90.00 90.00 99.88
Element x y z (fractional)
Rb 0.1469 0.8531 0.7500
Rb 0.1876 0.4528 0.7500
Rb 0.4528 0.1876 0.2500
Rb 0.5472 0.8124 0.7500
Rb 0.8124 0.5472 0.2500
Rb 0.8531 0.1469 0.2500
As 0.4608 0.5392 0.2500
As 0.5392 0.4608 0.7500
P 0.3052 0.6948 0.2500
P 0.6948 0.3052 0.7500

=====

B | VASP calculation (GGA-PBE) on Rb3AsP after structural relaxation.

ρ ... 2.23 g cm⁻³
Total magnetic moment ... 3.00 μB per formula unit

Lattice parameters (Å, degrees): 6.4595 6.4595 6.4595 90.00 90.00 90.00
Element x y z (fractional)
Rb 0.0000 0.0000 0.5000
Rb 0.0000 0.5000 0.0000
Rb 0.5000 0.0000 0.0000
As 0.5000 0.5000 0.5000
P 0.0000 0.0000 0.0000

=====

Referenced to the most stable arrangement, the calculated values in meV/atom are A 0; B 461.

=====

A | VASP calculation (GGA-PBE) on RbAs2PSe after structural relaxation.

ρ ... 4.42 g cm⁻³
Total magnetic moment ... 1.11 μB per formula unit

Lattice parameters (Å, degrees): 4.9458 4.9458 5.3059 90.00 90.00 90.00
Element x y z (fractional)
Rb 0.0000 0.0000 0.0000
As 0.0000 0.5000 0.5000
As 0.5000 0.0000 0.5000
P 0.5000 0.5000 0.5000
Se 0.5000 0.5000 0.0000

=====

B | VASP calculation (GGA-PBE) on RbAs2PSe after structural relaxation.

ρ ... 3.24 g cm⁻³
Total magnetic moment ... 0.43 μB per formula unit

Lattice parameters (Å, degrees): 5.6002 5.6002 5.6364 90.00 90.00 90.00
Element x y z (fractional)
Rb 0.0000 0.0000 0.0000
As 0.0000 0.5000 0.0000
As 0.5000 0.0000 0.0000
P 0.5000 0.5000 0.5000
Se 0.0000 0.0000 0.5000

=====

Referenced to the most stable arrangement, the calculated values in meV/atom are A 0; B 1809.

=====

A | VASP calculation (GGA-PBE) on ReAsP after structural relaxation.

ρ ... 10.28 g cm⁻³
Total magnetic moment ... 0.00 μB per formula unit

Lattice parameters (Å, degrees): 4.1482 4.1482 3.1669 90.00 90.00 120.00
Element x y z (fractional)
Re 0.0000 0.0000 0.0000
As 0.6667 0.3333 0.5000
P 0.3333 0.6667 0.0000

=====

B | VASP calculation (GGA-PBE) on ReAsP after structural relaxation.

ρ ... 9.75 g cm⁻³
Total magnetic moment ... 0.00 μB per formula unit

Lattice parameters (Å, degrees): 5.8390 5.8390 5.8390 90.00 90.00 90.00
Element x y z (fractional)
Re 0.0000 0.0000 0.0000
Re 0.0000 0.5000 0.5000
Re 0.5000 0.0000 0.5000
Re 0.5000 0.5000 0.0000
As 0.0000 0.0000 0.5000
As 0.0000 0.5000 0.0000
As 0.5000 0.0000 0.0000
As 0.5000 0.5000 0.5000
P 0.2500 0.2500 0.7500
P 0.2500 0.7500 0.2500
P 0.7500 0.2500 0.2500
P 0.7500 0.7500 0.7500

=====

C | VASP calculation (GGA-PBE) on ReAsP after structural relaxation.

ρ ... 9.44 g cm⁻³
Total magnetic moment ... 0.00 μB per formula unit

Lattice parameters (Å, degrees): 6.1102 6.1604 6.2218 108.33 111.18 90.30
Element x y z (fractional)
Re 0.0000 0.0000 0.0000
Re 0.0651 0.5666 0.7032
Re 0.4691 0.4261 0.8814
Re 0.5604 0.0124 0.5791
As 0.1329 0.1411 0.4815
As 0.3670 0.6214 0.5081
As 0.4199 0.8595 0.0974
As 0.8825 0.6329 0.0497
P 0.1860 0.3617 0.0556
P 0.6335 0.1134 0.0020
P 0.6835 0.3678 0.5695
P 0.9207 0.8846 0.5766

=====

Referenced to the most stable arrangement, the calculated values in meV/atom are A 378; B 746; C 0.

=====

A | VASP calculation (GGA-PBE) on ReAsP after structural relaxation.

ρ ... 9.71 g cm⁻³
Total magnetic moment ... 0.00 μB per formula unit

Lattice parameters (Å, degrees): 5.8718 6.2450 6.1951 90.00 118.36 90.00
Element x y z (fractional)
Re 0.2350 0.0046 0.4940
Re 0.2350 0.4954 0.9940
Re 0.7650 0.5046 0.0060
Re 0.7650 0.9954 0.5060
As 0.3331 0.6202 0.6581
As 0.3331 0.8798 0.1581
As 0.6669 0.1202 0.8419
As 0.6669 0.3798 0.3419
P 0.1640 0.1366 0.8206
P 0.1640 0.3634 0.3206
P 0.8360 0.6366 0.6794
P 0.8360 0.8634 0.1794

=====

B | VASP calculation (GGA-PBE) on ReAsP after structural relaxation.

ρ ... 10.14 g cm⁻³
Total magnetic moment ... 0.00 μB per formula unit

Lattice parameters (Å, degrees): 3.1727 3.1727 5.4877 90.00 90.00 120.00
Element x y z (fractional)
Re 0.0000 0.0000 0.0000
As 0.6667 0.3333 0.3329
P 0.3333 0.6667 0.7138

=====

C | VASP calculation (GGA-PBE) on ReAsP after structural relaxation.

ρ ... 9.42 g cm⁻³
Total magnetic moment ... 0.00 μB per formula unit

Lattice parameters (Å, degrees): 5.9048 5.9048 5.9048 90.00 90.00 90.00
Element x y z (fractional)
Re 0.0000 0.0000 0.0000
Re 0.0000 0.5000 0.5000
Re 0.5000 0.0000 0.5000
Re 0.5000 0.5000 0.0000
As 0.2500 0.2500 0.7500
As 0.2500 0.7500 0.2500
As 0.7500 0.2500 0.2500
As 0.7500 0.7500 0.7500
P 0.2500 0.2500 0.2500
P 0.2500 0.7500 0.7500
P 0.7500 0.2500 0.7500
P 0.7500 0.7500 0.2500

=====

Referenced to the most stable arrangement, the calculated values in meV/atom are A 0; B 174; C 411.